Na2NpTiTe4 | Alexandria | PBE | optimized geometry; uncorrected energy = -5.2879 eV per atom; magnetization = 5.00 Bohr magnetons per cell; uncorrected formation energy = -0.78 eV/atom; DOS(E_F) = 1.360 states/eV/atom
1.0
-0.005 4.204 -0.735
-5.913 -0.749 -4.246
-2.506 1.309 7.507
Np Te Ti Na
1 4 1 2
Direct
0.000 0.000 0.000 Np
0.000 0.278 0.782 Te
0.500 0.262 0.230 Te
0.500 0.738 0.770 Te
0.000 0.722 0.218 Te
0.500 0.500 0.000 Ti
0.500 0.000 0.500 Na
0.000 0.500 0.500 Na